No. 1
Material: Tb8Er5Sc
Method: DFT, PBE
State: relaxed

a = 8.3657 Å, b = 8.3658 Å, c = 8.3657 Å
α = 110.93°, β = 106.59°, γ = 110.93°
Sites, in units of the cell vectors:
1 Tb 0.1657 0.7311 0.0725
2 Tb 0.9275 0.0932 0.6585
3 Tb 0.7334 0.2573 0.3391
4 Tb 0.6609 0.3943 0.9182
5 Tb 0.5238 0.6057 0.2666
6 Tb 0.5654 0.9068 0.8343
7 Tb 0.3415 0.2689 0.4346
8 Tb 0.0818 0.7427 0.4762
9 Er 0.0305 0.3142 0.1312
10 Er 0.8688 0.8993 0.1831
11 Er 0.8169 0.6858 0.7162
12 Er 0.5000 0.0000 0.5000
13 Er 0.2838 0.1007 0.9695
14 Sc 0.2500 0.5000 0.7500

The space-group type is No. 82. The value obtained for the density of states at the Fermi level is 21.4 states/eV/f.u. The calculated density is 7946 kg/m3. The final energy comes out at -62.5 eV/cell.

=====

No. 2
Material: Tb3ErSc3
Method: DFT, PBE
State: relaxed

a = 8.4412 Å, b = 8.4412 Å, c = 8.4412 Å
α = 58.94°, β = 58.94°, γ = 58.94°
Sites, in units of the cell vectors:
1 Tb 0.7195 0.5667 0.0681
2 Tb 0.0681 0.7195 0.5667
3 Tb 0.5667 0.0681 0.7195
4 Tb 0.4333 0.9319 0.2805
5 Tb 0.9319 0.2805 0.4333
6 Tb 0.2805 0.4333 0.9319
7 Er 0.3471 0.3471 0.3471
8 Er 0.6529 0.6529 0.6529
9 Sc 0.7222 0.1704 0.9378
10 Sc 0.1704 0.9378 0.7222
11 Sc 0.9378 0.7222 0.1704
12 Sc 0.0622 0.2778 0.8296
13 Sc 0.8296 0.0622 0.2778
14 Sc 0.2778 0.8296 0.0622

The space-group type is No. 148. The value obtained for the density of states at the Fermi level is 12.3 states/eV/f.u. The calculated density is 6233 kg/m3. Its energy relative to the lowest polymorph listed for this composition is 160.0 meV per atom. The final energy comes out at -72.2 eV/cell.

=====

No. 3
Material: TbEr2Sc
Method: DFT, PBE
State: relaxed

a = 3.4711 Å, b = 3.4711 Å, c = 9.7267 Å
α = 90.00°, β = 90.00°, γ = 90.00°
Sites, in units of the cell vectors:
1 Sc 0.5000 0.5000 0.0000
2 Tb 0.5000 0.5000 0.5000
3 Er 0.0000 0.0000 0.7608
4 Er 0.0000 0.0000 0.2392

The space-group type is No. 123. The value obtained for the density of states at the Fermi level is 5.9 states/eV/f.u. The calculated density is 7629 kg/m3. Its energy relative to the lowest polymorph listed for this composition is 24.4 meV per atom. The final energy comes out at -19.9 eV/cell.

=====

- Which value of final energy does entry 3 give?
  -19.9 eV/cell

=====

What did the second record say?
Material: Tb3ErSc3
Method: DFT, PBE
State: relaxed

a = 8.4412 Å, b = 8.4412 Å, c = 8.4412 Å
α = 58.94°, β = 58.94°, γ = 58.94°
Sites, in units of the cell vectors:
1 Tb 0.7195 0.5667 0.0681
2 Tb 0.0681 0.7195 0.5667
3 Tb 0.5667 0.0681 0.7195
4 Tb 0.4333 0.9319 0.2805
5 Tb 0.9319 0.2805 0.4333
6 Tb 0.2805 0.4333 0.9319
7 Er 0.3471 0.3471 0.3471
8 Er 0.6529 0.6529 0.6529
9 Sc 0.7222 0.1704 0.9378
10 Sc 0.1704 0.9378 0.7222
11 Sc 0.9378 0.7222 0.1704
12 Sc 0.0622 0.2778 0.8296
13 Sc 0.8296 0.0622 0.2778
14 Sc 0.2778 0.8296 0.0622

The space-group type is No. 148. The value obtained for the density of states at the Fermi level is 12.3 states/eV/f.u. The calculated density is 6233 kg/m3. Its energy relative to the lowest polymorph listed for this composition is 160.0 meV per atom. The final energy comes out at -72.2 eV/cell.